Entry 1:
This record from the Alexandria database describes a crystal of La2MnNi relaxed with PBEsol. The functional is SCAN.

Output
The value obtained for the formation energy is 91 meV/atom.

a b c (Å): 8.242 8.242 8.242
angles (deg): 26.11 26.11 26.11
Sites, in units of the cell vectors:
La 0.241 0.241 0.241
La 0.759 0.759 0.759
Mn 0.000 0.000 0.000
Ni 0.500 0.500 0.500

---

Entry 2:
This record from the Alexandria database describes a crystal of La2MnNiO6 relaxed with PBEsol. The functional is SCAN.

Output
For the total energy, the calculation gives -374.77 eV for the cell shown.

a b c (Å): 5.454 5.406 9.388
angles (deg): 90.00 125.40 90.00
Sites, in units of the cell vectors:
La 0.246 0.024 0.250
La 0.246 0.476 0.750
La 0.754 0.524 0.250
La 0.754 0.976 0.750
Mn 0.000 0.000 0.500
Mn 0.000 0.500 0.000
Ni 0.500 0.000 0.000
Ni 0.500 0.500 0.500
O 0.184 0.230 0.965
O 0.184 0.270 0.465
O 0.234 0.720 0.965
O 0.234 0.780 0.465
O 0.309 0.006 0.744
O 0.309 0.494 0.244
O 0.691 0.506 0.756
O 0.691 0.994 0.256
O 0.766 0.220 0.535
O 0.766 0.280 0.035
O 0.816 0.730 0.535
O 0.816 0.770 0.035

---

Entry 3:
This record from the Alexandria database describes a crystal of LaMn2NiOs relaxed with PBEsol. The functional is SCAN.

Output
The value obtained for the formation energy is 323 meV/atom.

a b c (Å): 4.573 4.573 4.678
angles (deg): 90.00 90.00 90.00
Sites, in units of the cell vectors:
La 0.000 0.000 0.000
Mn 0.000 0.500 0.500
Mn 0.500 0.000 0.500
Ni 0.500 0.500 0.000
Os 0.500 0.500 0.500